[1]
A plane-wave DFT calculation with GGA-PBE was carried out for a geometry-optimized HoHgAsO structure.

Lattice parameters (Å, degrees): 4.0945 4.0945 9.1798 90.00 90.00 90.00
With the nearest neighbours (Å) after each atom.
Space group P4/nmm (No. 129, origin choice 2)
Unique sites:
Ho 0.2500 0.2500 0.1098  4 O 2.28
Hg 0.2500 0.7500 0.5000  4 As 2.83, 4 Hg 2.90
As 0.2500 0.2500 0.7122  4 Hg 2.83
O 0.2500 0.7500 0.0000  4 Ho 2.28

Output
DFT total energy in eV per cell: -41.3

***

[2]
A plane-wave DFT calculation with GGA-PBE was carried out for a geometry-optimized Nb2PbO6 structure.

Lattice parameters (Å, degrees): 3.9606 3.9606 8.0493 90.00 90.00 90.00
With the nearest neighbours (Å) after each atom.
Space group P4/mmm (No. 123)
Unique sites:
Nb 0.0000 0.0000 0.2380  6 O 1.92-2.11
Pb 0.5000 0.5000 0.5000  12 O 2.75-2.80
O 0.0000 0.0000 0.0000  2 Nb 1.92
O 0.0000 0.0000 0.5000  2 Nb 2.11
O 0.0000 0.5000 0.2623  2 Nb 1.99

Output
DFT total energy in eV per cell: -73.8

***

[3]
A plane-wave DFT calculation with GGA-PBE was carried out for a geometry-optimized Dy2In3Ga3 structure.

Lattice parameters (Å, degrees): 6.5124 6.5124 4.8703 90.00 90.00 120.00
With the nearest neighbours (Å) after each atom.
Space group P-6m2 (No. 187)
Unique sites:
Dy 0.0000 0.0000 0.0000  6 Ga 3.18, 6 In 3.26
Dy 0.3333 0.6667 0.5000  6 In 3.14, 6 Ga 3.26
In 0.5088 0.0176 0.0000  4 Ga 3.00, 2 In 3.08, 4 Dy 3.14-3.26
Ga 0.3633 0.1816 0.5000  2 Ga 2.96, 4 In 3.00, 4 Dy 3.18-3.26

Output
DFT total energy in eV per cell: -29.6

***

Q: Which value of DFT total energy does entry 1 give?
A: -41.3 eV per cell

***

Q: Among the records above, which one has the lowest DFT total energy?
A: Nb2PbO6